1.
This record from the Alexandria database describes an optimized crystal structure of La8Ho6Cd. The functional is GGA-PBE.

Cell: 9.3736 9.3736 6.6568 Å, 90.00 90.00 120.00°
Fractional coordinates of all 15 atoms:
La1 0.0483 0.7680 0.3252
La2 0.2320 0.2803 0.3252
La3 0.2803 0.0483 0.6748
La4 0.3333 0.6667 0.3672
La5 0.6667 0.3333 0.6328
La6 0.7197 0.9517 0.3252
La7 0.7680 0.7197 0.6748
La8 0.9517 0.2320 0.6748
Ho1 0.1015 0.6550 0.8435
Ho2 0.3450 0.4465 0.8435
Ho3 0.4465 0.1015 0.1565
Ho4 0.5535 0.8985 0.8435
Ho5 0.6550 0.5535 0.1565
Ho6 0.8985 0.3450 0.1565
Cd1 0.0000 0.0000 0.0000

Computed properties:
total moment: 0.00 Bohr magnetons per cell
space group: No. 147
E_tot: -66.387 eV for the cell shown

2.
This record from the Alexandria database describes an optimized crystal structure of La6Ho2Cd. The functional is GGA-PBE.

Cell: 9.8831 9.8831 3.6561 Å, 90.00 90.00 120.00°
Fractional coordinates of all 9 atoms:
La1 0.0000 0.3683 0.0000
La2 0.0000 0.7118 0.5000
La3 0.2882 0.2882 0.5000
La4 0.3683 0.0000 0.0000
La5 0.6317 0.6317 0.0000
La6 0.7118 0.0000 0.5000
Ho1 0.3333 0.6667 0.5000
Ho2 0.6667 0.3333 0.5000
Cd1 0.0000 0.0000 0.0000

Computed properties:
total moment: 0.00 Bohr magnetons per cell
space group: No. 189
E_tot: -40.108 eV for the cell shown

3.
This record from the Alexandria database describes an optimized crystal structure of LaHoCd4. The functional is GGA-PBE.

Cell: 5.9878 5.9878 5.9878 Å, 60.00 60.00 60.00°
Fractional coordinates of all 6 atoms:
La1 0.0000 0.0000 0.0000
Ho1 0.7500 0.7500 0.7500
Cd1 0.3752 0.3752 0.3752
Cd2 0.3752 0.3752 0.8743
Cd3 0.3752 0.8743 0.3752
Cd4 0.8743 0.3752 0.3752

Computed properties:
ΔE to the lowest computed polymorph: 0.29 eV per formula unit
total moment: 0.00 Bohr magnetons per cell
space group: No. 216